Entry 1:
Compound: ErZrGe2O8
Source: the Alexandria database
Functional: PBE
Structure: optimized geometry

Computed properties:
- Crystal system: tetragonal
- Uncorrected formation energy: -2.35 eV/atom
- VASP energy: -7.51 eV per atom
- Total moment: 0.97 μB/cell

a = 5.8534 Å, b = 5.8534 Å, c = 5.8534 Å
α = 107.37°, β = 107.37°, γ = 113.77°
Atoms (fractional coordinates):
Er  0.0000  0.0000  0.0000
Zr  0.7500  0.2500  0.5000
Ge  0.2500  0.7500  0.5000
Ge  0.5000  0.5000  0.0000
O  0.0566  0.3754  0.3188
O  0.0566  0.7377  0.6812
O  0.1256  0.3177  0.8079
O  0.2623  0.9434  0.3188
O  0.5098  0.3177  0.1921
O  0.6246  0.9434  0.6812
O  0.6823  0.4902  0.8079
O  0.6823  0.8744  0.1921

Entry 2:
Compound: IBrO2F
Source: the Alexandria database
Functional: PBE
Structure: optimized geometry

Computed properties:
- Crystal system: tetragonal
- Uncorrected formation energy: 0.06 eV/atom
- VASP energy: -2.94 eV per atom
- Total moment: 1.32 μB/cell

a = 4.0316 Å, b = 4.0316 Å, c = 5.2490 Å
α = 90.00°, β = 90.00°, γ = 90.00°
Atoms (fractional coordinates):
I  0.0000  0.0000  0.0000
Br  0.5000  0.5000  0.5000
O  0.0000  0.5000  0.0000
O  0.5000  0.0000  0.0000
F  0.0000  0.0000  0.5000

Entry 3:
Compound: RbSe2Br2
Source: the Alexandria database
Functional: PBE
Structure: optimized geometry

Computed properties:
- Offset from the most stable computed form: 0.000 kcal/mol of atoms
- Crystal system: monoclinic
- Uncorrected formation energy: -0.54 eV/atom
- VASP energy: -2.80 eV per atom
- Total moment: 0.00 μB/cell

a = 6.0743 Å, b = 6.0743 Å, c = 14.2106 Å
α = 102.63°, β = 102.63°, γ = 53.60°
Atoms (fractional coordinates):
Rb  0.1129  0.8871  0.7500
Rb  0.8871  0.1129  0.2500
Se  0.3647  0.4431  0.5105
Se  0.4431  0.3647  0.0105
Se  0.5569  0.6353  0.9895
Se  0.6353  0.5569  0.4895
Br  0.1656  0.4216  0.1506
Br  0.4216  0.1656  0.6506
Br  0.5784  0.8344  0.3494
Br  0.8344  0.5784  0.8494